No. 1
Entry from Alexandria via LeMat-Bulk: crystalline KScAs2 at its relaxed geometry (PBE).

Geometry as POSCAR:
```
KScAs2
1.0
0.0000 3.5757 3.5757
3.5757 0.0000 3.5757
3.5757 3.5757 0.0000
Sc As K
1 2 1
Direct
0.5000 0.5000 0.5000 Sc
0.2500 0.2500 0.2500 As
0.7500 0.7500 0.7500 As
0.0000 0.0000 0.0000 K
```

Results
* total magnetization: 0.00 Bohr magnetons per cell
* ΔE to the lowest computed polymorph: 0.416 eV/atom
* volume: 22.86 Å³ per atom
* symmetry: Fm-3m (225)
* energy relative to the elements: -0.30 eV/atom

***

No. 2
Entry from Alexandria via LeMat-Bulk: crystalline KScAs2 at its relaxed geometry (PBE).

Geometry as POSCAR:
```
KScAs2
1.0
-1.6973 -4.3226 2.3236
2.8950 0.2293 4.3048
-3.0272 3.8271 -1.7759
As K Sc
2 1 1
Direct
0.0000 0.0000 0.0000 As
0.5000 0.5000 0.0000 As
0.2500 0.7500 0.5000 K
0.7500 0.2500 0.5000 Sc
```

Results
* total magnetization: 0.00 Bohr magnetons per cell
* ΔE to the lowest computed polymorph: 0.374 eV/atom
* volume: 22.53 Å³ per atom
* symmetry: I4/mmm (139)
* energy relative to the elements: -0.34 eV/atom

***

No. 3
Entry from Alexandria via LeMat-Bulk: crystalline KSc2As at its relaxed geometry (PBE).

Geometry as POSCAR:
```
KSc2As
1.0
3.6905 0.0000 0.0000
0.0000 3.6833 0.0172
0.0000 3.6260 8.6306
As K Sc
1 1 2
Direct
0.0000 0.5948 0.4065 As
0.5000 0.7959 0.7020 K
0.0000 0.9145 0.0852 Sc
0.5000 0.1947 0.3063 Sc
```

Results
* total magnetization: 1.72 Bohr magnetons per cell
* volume: 29.27 Å³ per atom
* symmetry: Pm (6)
* energy relative to the elements: -0.37 eV/atom

***

No. 4
Entry from Alexandria via LeMat-Bulk: crystalline KSc2As at its relaxed geometry (PBE).

Geometry as POSCAR:
```
KSc2As
1.0
6.0276 0.0283 0.0000
-2.6696 5.4043 0.0000
0.0000 0.0000 3.1220
As K Sc
1 1 2
Direct
0.5000 0.0000 0.5000 As
0.0000 0.5000 0.5000 K
0.0000 0.0000 0.0000 Sc
0.5000 0.5000 0.0000 Sc
```

Results
* total magnetization: 0.41 Bohr magnetons per cell
* volume: 25.48 Å³ per atom
* symmetry: Cmmm (65)
* energy relative to the elements: 0.32 eV/atom

***

What did the third record say?
Entry from Alexandria via LeMat-Bulk: crystalline KSc2As at its relaxed geometry (PBE).

Geometry as POSCAR:
```
KSc2As
1.0
3.6905 0.0000 0.0000
0.0000 3.6833 0.0172
0.0000 3.6260 8.6306
As K Sc
1 1 2
Direct
0.0000 0.5948 0.4065 As
0.5000 0.7959 0.7020 K
0.0000 0.9145 0.0852 Sc
0.5000 0.1947 0.3063 Sc
```

Results
* total magnetization: 1.72 Bohr magnetons per cell
* volume: 29.27 Å³ per atom
* symmetry: Pm (6)
* energy relative to the elements: -0.37 eV/atom

***

> The lowest energy relative to the elements belongs to which entry?

number 3

***

> Which of these has the lowest volume?

number 2